A plane-wave DFT calculation with PBE was carried out for an optimized crystal structure of Nd2SmMgN.

Space-group type: P4/mmm, No. 123
Crystal system: tetragonal
Calculated total energy (eV per atom): -5.438
Formation energy without anion corrections (meV per atom): -603

Lattice parameters (Å, degrees): 4.9786 5.0958 5.0958 90.00 90.00 90.00
Last column: nearest neighbours and their distance in Å.
Fractional positions:
Nd 0.0000 0.0000 0.5000  2 N 2.55
Nd 0.0000 0.5000 0.0000  2 N 2.55
Sm 0.5000 0.0000 0.0000  2 N 2.49
Mg 0.5000 0.5000 0.5000  8 Nd 3.56, 4 Sm 3.60
N 0.0000 0.0000 0.0000  2 Sm 2.49, 4 Nd 2.55

=====

A plane-wave DFT calculation with PBE was carried out for an optimized crystal structure of RbPtCl.

Space-group type: Cm, No. 8
Crystal system: monoclinic
Calculated total energy (eV per atom): -3.629
Formation energy without anion corrections (meV per atom): -677
Energy above the lowest structure with this stoichiometry (meV/atom): 96.6

Lattice parameters (Å, degrees): 6.6522 4.9596 6.6755 68.20 78.91 90.00
Last column: nearest neighbours and their distance in Å.
Fractional positions:
Pt 0.1438 0.4334 0.6727  2 Cl 2.32-2.33, 2 Pt 2.57
Pt 0.1870 0.8883 0.7630  2 Pt 2.57
Rb 0.2716 0.1815 0.1765  3 Cl 3.26-3.55, 2 Pt 3.40-3.56
Rb 0.7037 0.9537 0.6322  4 Cl 3.32-3.41, 2 Pt 3.36-3.47
Cl 0.4531 0.5607 0.4182  1 Pt 2.32
Cl 0.8351 0.3042 0.9314  1 Pt 2.33

=====

A plane-wave DFT calculation with PBE was carried out for an optimized crystal structure of Ce2PrSmSe4.

Space-group type: P2/m, No. 10
Crystal system: monoclinic
Calculated total energy (eV per atom): -6.242
Formation energy without anion corrections (meV per atom): -1829

Lattice parameters (Å, degrees): 4.1992 7.2818 7.3196 70.69 90.00 90.00
Last column: nearest neighbours and their distance in Å.
Fractional positions:
Ce 0.0000 0.0000 0.0000  6 Se 2.99
Ce 0.5000 0.0000 0.5000  6 Se 2.96
Pr 0.5000 0.5000 0.0000  6 Se 3.00
Sm 0.0000 0.5000 0.5000  6 Se 2.97
Se 0.0000 0.7524 0.7456  3 Ce 2.96-2.99, 1 Sm 2.97, 2 Pr 3.00
Se 0.0000 0.2476 0.2544  3 Ce 2.96-2.99, 1 Sm 2.97, 2 Pr 3.00
Se 0.5000 0.7496 0.2538  3 Ce 2.96-2.99, 2 Sm 2.97, 1 Pr 3.00
Se 0.5000 0.2504 0.7462  3 Ce 2.96-2.99, 2 Sm 2.97, 1 Pr 3.00

=====

A plane-wave DFT calculation with PBE was carried out for an optimized crystal structure of Hf2PtPb.

Space-group type: R-3m, No. 166
Crystal system: trigonal
Formation energy (eV per atom): -0.362
Calculated total energy (eV per atom): -7.776

Lattice parameters (Å, degrees): 3.6279 3.6279 8.4398 77.59 77.59 60.00
Last column: nearest neighbours and their distance in Å.
Fractional positions:
Pb 0.5000 0.5000 0.5000  6 Hf 3.21
Hf 0.2658 0.2658 0.2027  3 Pt 2.67
Hf 0.7342 0.7342 0.7973  3 Pt 2.67
Pt 0.0000 0.0000 0.0000  6 Hf 2.67

=====

A plane-wave DFT calculation with PBE was carried out for an optimized crystal structure of Mg2Zn9Hg.

Space-group type: P4/mbm, No. 127
Crystal system: tetragonal
Formation energy (eV per atom): -0.025
Calculated total energy (eV per atom): -1.272

Lattice parameters (Å, degrees): 5.1631 8.8978 8.8978 90.00 90.00 90.00
Last column: nearest neighbours and their distance in Å.
Fractional positions:
Mg 0.0000 0.6227 0.1227  12 Zn 2.81-3.05, 1 Mg 3.09
Mg 0.0000 0.3773 0.8773  12 Zn 2.81-3.05, 1 Mg 3.09
Mg 0.0000 0.1227 0.3773  12 Zn 2.81-3.05, 1 Mg 3.09
Mg 0.0000 0.8773 0.6227  12 Zn 2.81-3.05, 1 Mg 3.09
Zn 0.5000 0.5000 0.0000  8 Zn 2.60-2.69
Zn 0.5000 0.0000 0.5000  8 Zn 2.60-2.69
Zn 0.5000 0.7042 0.5629  8 Zn 2.68-2.93
Zn 0.5000 0.2958 0.4371  8 Zn 2.68-2.93
Zn 0.5000 0.2042 0.9371  8 Zn 2.68-2.93
Zn 0.5000 0.7958 0.0629  8 Zn 2.68-2.93
Zn 0.5000 0.4371 0.7042  8 Zn 2.68-2.93
Zn 0.5000 0.5629 0.2958  8 Zn 2.68-2.93
Zn 0.5000 0.0629 0.2042  8 Zn 2.68-2.93
Zn 0.5000 0.9371 0.7958  8 Zn 2.68-2.93
Zn 0.7591 0.8231 0.3231  7 Zn 2.49-2.73
Zn 0.7591 0.1769 0.6769  7 Zn 2.49-2.73
Zn 0.7591 0.3231 0.1769  7 Zn 2.49-2.73
Zn 0.7591 0.6769 0.8231  7 Zn 2.49-2.73
Zn 0.2409 0.1769 0.6769  7 Zn 2.49-2.73
Zn 0.2409 0.8231 0.3231  7 Zn 2.49-2.73
Zn 0.2409 0.6769 0.8231  7 Zn 2.49-2.73
Zn 0.2409 0.3231 0.1769  7 Zn 2.49-2.73
Hg 0.0000 0.5000 0.5000  16 Zn 3.21-3.51, 4 Mg 3.53
Hg 0.0000 0.0000 0.0000  16 Zn 3.21-3.51, 4 Mg 3.53

=====

A plane-wave DFT calculation with PBE was carried out for an optimized crystal structure of LiThZnCd.

Space-group type: F-43m, No. 216
Crystal system: cubic
Formation energy (eV per atom): -0.103
Calculated total energy (eV per atom): -2.984

Lattice parameters (Å, degrees): 4.9352 4.9352 4.9352 60.00 60.00 60.00
Last column: nearest neighbours and their distance in Å.
Fractional positions:
Zn 0.5000 0.5000 0.5000  4 Th 3.02, 4 Cd 3.02
Li 0.0000 0.0000 0.0000  4 Cd 3.02, 4 Th 3.02
Th 0.2500 0.2500 0.2500  4 Li 3.02, 4 Zn 3.02
Cd 0.7500 0.7500 0.7500  4 Zn 3.02, 4 Li 3.02

=====

A plane-wave DFT calculation with PBE was carried out for an optimized crystal structure of TiTlRe2.

Space-group type: Fm-3m, No. 225
Crystal system: cubic
Formation energy (eV per atom): 0.596
Calculated total energy (eV per atom): -8.193
Energy above the lowest structure with this stoichiometry (meV/atom): 0.0

Lattice parameters (Å, degrees): 4.5568 4.5568 4.5568 60.00 60.00 60.00
Last column: nearest neighbours and their distance in Å.
Fractional positions:
Re 0.2500 0.2500 0.2500  4 Tl 2.79, 4 Ti 2.79
Re 0.7500 0.7500 0.7500  4 Ti 2.79, 4 Tl 2.79
Tl 0.5000 0.5000 0.5000  8 Re 2.79
Ti 0.0000 0.0000 0.0000  8 Re 2.79

=====

A plane-wave DFT calculation with PBE was carried out for an optimized crystal structure of Sr2LiDyS4.

Space-group type: P2/m, No. 10
Crystal system: monoclinic
Calculated total energy (eV per atom): -5.239
Formation energy without anion corrections (meV per atom): -1941

Lattice parameters (Å, degrees): 4.1086 7.0420 7.0557 108.78 90.00 90.00
Last column: nearest neighbours and their distance in Å.
Fractional positions:
Sr 0.5000 0.0000 0.5000  6 S 2.95-2.96
Sr 0.0000 0.5000 0.5000  6 S 2.99-3.01
Li 0.5000 0.5000 0.0000  6 S 2.79-2.85
Dy 0.0000 0.0000 0.0000  6 S 2.74-2.80
S 0.5000 0.2395 0.2251  1 Li 2.79, 2 Dy 2.80, 3 Sr 2.95-3.01
S 0.5000 0.7605 0.7749  1 Li 2.79, 2 Dy 2.80, 3 Sr 2.95-3.01
S 0.0000 0.2481 0.7698  1 Dy 2.74, 2 Li 2.85, 3 Sr 2.96-2.99
S 0.0000 0.7519 0.2302  1 Dy 2.74, 2 Li 2.85, 3 Sr 2.96-2.99

=====

Question: The lowest calculated total energy belongs to which entry?
Answer: TiTlRe2